No. 1
DFT (PBE) results for a relaxed HoEr2Fe2Ni7 crystal.

## Properties
crystal system: trigonal
total magnetic moment: 0.5069 μB per atom

a b c (Å): 4.9572 4.9572 24.1563
angles (deg): 90.00 90.00 120.00
Last column: nearest neighbours and their distance in Å.
Space group R-3m (No. 166, hexagonal axes)
Symmetry-distinct sites (fractional):
Ho1 0.0000 0.0000 0.0000 x3  6 Fe 2.86, 12 Ni 3.17
Er1 0.0000 0.0000 0.1389 x6  12 Ni 2.84-3.07, 3 Er 3.16
Fe1 0.0000 0.0000 0.3329 x6  6 Ni 2.43-2.45
Ni1 0.0000 0.0000 0.5000 x3  6 Ni 2.50
Ni2 0.0000 0.5000 0.0818 x18  2 Fe 2.43-2.45, 5 Ni 2.48-2.50

---

No. 2
DFT (PBE) results for a relaxed HoEr2FeNi8 crystal.

## Properties
crystal system: trigonal
total magnetic moment: 0.2845 μB per atom

a b c (Å): 4.9574 4.9574 24.0781
angles (deg): 90.00 90.00 120.00
Last column: nearest neighbours and their distance in Å.
Space group R-3m (No. 166, hexagonal axes)
Symmetry-distinct sites (fractional):
Ho1 0.0000 0.0000 0.0000 x3  18 Ni 2.86-3.19
Er1 0.0000 0.0000 0.1388 x6  9 Ni 2.81-3.03, 3 Fe 2.94
Fe1 0.0000 0.0000 0.5000 x3  6 Ni 2.47
Ni1 0.0000 0.0000 0.3335 x6  6 Ni 2.46-2.47
Ni2 0.0021 0.5011 0.9166 x18  6 Ni 2.46-2.49, 1 Fe 2.47

---

No. 3
DFT (PBE) results for a relaxed Ho2ErFe6Ni3 crystal.

## Properties
crystal system: trigonal
total magnetic moment: 1.1022 μB per atom

a b c (Å): 4.9466 4.9466 24.7755
angles (deg): 90.00 90.00 120.00
Last column: nearest neighbours and their distance in Å.
Space group R-3m (No. 166, hexagonal axes)
Symmetry-distinct sites (fractional):
Ho1 0.0000 0.0000 0.1412 x6  9 Fe 2.88-3.08, 3 Ni 2.92, 3 Ho 3.12
Er1 0.0000 0.0000 0.0000 x3  6 Ni 2.86, 12 Fe 3.20
Fe1 0.0014 0.5007 0.9183 x18  4 Fe 2.46-2.48, 3 Ni 2.47-2.55
Ni1 0.0000 0.0000 0.3333 x6  6 Fe 2.47-2.48
Ni2 0.0000 0.0000 0.5000 x3  6 Fe 2.55

---

no.,volume (Å³/cell),formation enthalpy at 0 K (eV per atom),DFT total energy (eV/atom)
1,514,-0.367,-6.14
2,512,-0.374,-5.92
3,525,-0.167,-6.86